Record 1
Y4Pt at its PBEsol-relaxed geometry. Source: Alexandria, functional meta-GGA SCAN.

Cell lengths 6.365, 6.365, 6.365 Å; angles 94.55, 94.55, 147.27 degrees
Element x y z (fractional)
Y: 0.076 0.261 0.338
Y: 0.261 0.924 0.185
Y: 0.739 0.076 0.815
Y: 0.924 0.739 0.662
Pt: 0.500 0.500 0.000

Output
DFT formation energy: -0.60 eV/atom
SG: I4/m (87)
total magnetic moment: 0.0 μB/f.u.

***

Record 2
Hf6FeSb2 at its PBEsol-relaxed geometry. Source: Alexandria, functional meta-GGA SCAN.

Cell lengths 7.662, 7.662, 3.524 Å; angles 90.00, 90.00, 120.00 degrees
Element x y z (fractional)
Hf: 0.000 0.394 0.000
Hf: 0.000 0.760 0.500
Hf: 0.240 0.240 0.500
Hf: 0.394 0.000 0.000
Hf: 0.606 0.606 0.000
Hf: 0.760 0.000 0.500
Fe: 0.000 0.000 0.000
Sb: 0.333 0.667 0.500
Sb: 0.667 0.333 0.500

Output
SG: P-62m (189)
total magnetic moment: 0.0 μB/f.u.
E_tot: -472.805 eV/f.u.

***

Record 3
HgSIO2 at its PBEsol-relaxed geometry. Source: Alexandria, functional meta-GGA SCAN.

Cell lengths 3.858, 3.858, 6.710 Å; angles 90.00, 90.00, 90.00 degrees
Element x y z (fractional)
Hg: 0.000 0.000 0.000
S: 0.500 0.500 0.500
I: 0.500 0.500 0.000
O: 0.000 0.500 0.500
O: 0.500 0.000 0.500

Output
SG: P4/mmm (123)
total magnetic moment: 0.0 μB/f.u.
E_tot: -125.100 eV/f.u.

***

Record 4
Li5Bi2P5O18 at its PBEsol-relaxed geometry. Source: Alexandria, functional meta-GGA SCAN.

Cell lengths 6.642, 9.416, 11.052 Å; angles 97.62, 91.29, 91.70 degrees
Element x y z (fractional)
Li: 0.014 0.452 0.136
Li: 0.128 0.726 0.663
Li: 0.181 0.394 0.649
Li: 0.346 0.877 0.853
Li: 0.403 0.226 0.406
Li: 0.597 0.774 0.594
Li: 0.654 0.123 0.147
Li: 0.819 0.606 0.351
Li: 0.872 0.274 0.337
Li: 0.986 0.548 0.864
Bi: 0.221 0.868 0.391
Bi: 0.335 0.265 0.933
Bi: 0.665 0.735 0.067
Bi: 0.779 0.132 0.609
P: 0.146 0.080 0.164
P: 0.178 0.765 0.090
P: 0.221 0.508 0.405
P: 0.272 0.081 0.657
P: 0.486 0.572 0.785
P: 0.514 0.428 0.215
P: 0.728 0.919 0.343
P: 0.779 0.492 0.595
P: 0.822 0.235 0.910
P: 0.854 0.920 0.836
O: 0.009 0.656 0.042
O: 0.038 0.830 0.829
O: 0.040 0.473 0.317
O: 0.062 0.914 0.117
O: 0.116 0.202 0.676
O: 0.165 0.939 0.600
O: 0.209 0.658 0.481
O: 0.251 0.077 0.289
O: 0.257 0.388 0.482
O: 0.279 0.733 0.208
O: 0.299 0.106 0.066
O: 0.305 0.481 0.818
O: 0.344 0.779 0.997
O: 0.345 0.412 0.116
O: 0.368 0.060 0.782
O: 0.421 0.527 0.329
O: 0.423 0.709 0.736
O: 0.432 0.129 0.568
O: 0.568 0.871 0.432
O: 0.577 0.291 0.264
O: 0.579 0.473 0.671
O: 0.632 0.940 0.218
O: 0.655 0.588 0.884
O: 0.656 0.221 0.003
O: 0.695 0.519 0.182
O: 0.701 0.894 0.934
O: 0.721 0.267 0.792
O: 0.743 0.612 0.518
O: 0.749 0.923 0.711
O: 0.791 0.342 0.519
O: 0.835 0.061 0.400
O: 0.884 0.798 0.324
O: 0.938 0.086 0.883
O: 0.960 0.527 0.683
O: 0.962 0.170 0.171
O: 0.991 0.344 0.958

Output
SG: P-1 (2)
total magnetic moment: 0.0 μB/f.u.
E_tot: -403.961 eV/f.u.

***

Record 5
InSiAs at its PBEsol-relaxed geometry. Source: Alexandria, functional meta-GGA SCAN.

Cell lengths 5.035, 5.035, 2.726 Å; angles 90.00, 90.00, 120.00 degrees
Element x y z (fractional)
In: 0.000 0.000 0.000
Si: 0.667 0.333 0.000
As: 0.333 0.667 0.000

Output
ΔE to the lowest computed polymorph: 0.000 eV per atom
SG: P-6m2 (187)
total magnetic moment: 0.0 μB/f.u.

***

Record 6
CrFe2CuMo at its PBEsol-relaxed geometry. Source: Alexandria, functional meta-GGA SCAN.

Cell lengths 4.153, 4.153, 4.350 Å; angles 90.00, 90.00, 90.00 degrees
Element x y z (fractional)
Cr: 0.000 0.000 0.000
Fe: 0.000 0.500 0.000
Fe: 0.500 0.000 0.000
Cu: 0.500 0.500 0.500
Mo: 0.000 0.000 0.500

Output
DFT formation energy: 1.36 eV/atom
SG: P4/mmm (123)
total magnetic moment: 4.4 μB/f.u.

***

Record 7
ScPtPb2 at its PBEsol-relaxed geometry. Source: Alexandria, functional meta-GGA SCAN.

Cell lengths 5.562, 5.562, 5.562 Å; angles 134.82, 134.82, 65.81 degrees
Element x y z (fractional)
Sc: 0.000 0.000 0.000
Pt: 0.250 0.750 0.500
Pb: 0.500 0.500 0.000
Pb: 0.750 0.250 0.500

Output
DFT formation energy: -0.38 eV/atom
ΔE to the lowest computed polymorph: 0.000 eV per atom
SG: I-4m2 (119)
total magnetic moment: 0.0 μB/f.u.

***

Record 8
Gd2MgTl at its PBEsol-relaxed geometry. Source: Alexandria, functional meta-GGA SCAN.

Cell lengths 5.300, 5.300, 5.300 Å; angles 60.00, 60.00, 60.00 degrees
Element x y z (fractional)
Gd: 0.250 0.250 0.250
Gd: 0.750 0.750 0.750
Mg: 0.000 0.000 0.000
Tl: 0.500 0.500 0.500

Output
DFT formation energy: -0.37 eV/atom
SG: Fm-3m (225)
total magnetic moment: 15.3 μB/f.u.